CaCo2Se: relaxed, PBE.

Summary:
Its formation energy (no corrections) is -0.168 eV/atom. Its magnetic moment is 3.84 μB per formula unit. Its crystal system is tetragonal. As for the electronic total energy: -20.4 eV per cell.

abc: 3.588 3.588 5.726
angles: 90.00 90.00 90.00
Space group P4mm (No. 99)
Inequivalent atoms, fractional coordinates:
1 Ca 0.000 0.000 0.000 (multiplicity 1)
2 Co 0.000 0.500 0.436 (multiplicity 2)
3 Se 0.500 0.500 0.738 (multiplicity 1)

=====

CaCoSe2: relaxed, PBE.

Summary:
Its formation energy (no corrections) is -0.857 eV/atom. Its magnetic moment is 1.00 μB per formula unit. Its crystal system is tetragonal. As for the electronic total energy: -78.0 eV per cell.

abc: 7.081 7.081 6.801
angles: 90.00 90.00 90.00
Space group I-42d (No. 122)
Inequivalent atoms, fractional coordinates:
1 Ca 0.000 0.000 0.000 (multiplicity 4)
2 Co 0.000 0.000 0.500 (multiplicity 4)
3 Se 0.170 0.250 0.625 (multiplicity 8)

=====

CaCoSe2: relaxed, PBE.

Summary:
Its formation energy (no corrections) is -0.746 eV/atom. Its magnetic moment is 0.94 μB per formula unit. Its crystal system is orthorhombic. As for the electronic total energy: -38.1 eV per cell.

abc: 3.679 5.868 7.753
angles: 90.00 90.00 90.00
Space group Immm (No. 71)
Inequivalent atoms, fractional coordinates:
1 Ca 0.000 0.000 0.000 (multiplicity 2)
2 Co 0.000 0.000 0.500 (multiplicity 2)
3 Se 0.000 0.500 0.189 (multiplicity 4)

=====

CaCo2Se: relaxed, PBE.

Summary:
Its formation energy (no corrections) is 0.175 eV/atom. Its magnetic moment is 2.37 μB per formula unit. Its crystal system is tetragonal. As for the electronic total energy: -38.0 eV per cell.

abc: 3.981 3.981 8.190
angles: 90.00 90.00 90.00
Space group I-4m2 (No. 119)
Inequivalent atoms, fractional coordinates:
1 Ca 0.000 0.000 0.000 (multiplicity 2)
2 Co 0.000 0.000 0.500 (multiplicity 2)
3 Co 0.000 0.500 0.750 (multiplicity 2)
4 Se 0.000 0.500 0.250 (multiplicity 2)

=====

CaCo2Se: relaxed, PBE.

Summary:
Its formation energy (no corrections) is -0.152 eV/atom. Its magnetic moment is 0.00 μB per formula unit. Its crystal system is trigonal. As for the electronic total energy: -60.9 eV per cell.

abc: 4.0274 4.0274 15.0564
angles: 90.00 90.00 120.00
Space group R-3m (No. 166, hexagonal axes)
Inequivalent atoms, fractional coordinates:
1 Ca 0.0000 0.0000 0.0000 (multiplicity 3)
2 Co 0.0000 0.0000 0.1927 (multiplicity 6)
3 Se 0.0000 0.0000 0.5000 (multiplicity 3)

=====

CaCoSe2: relaxed, PBE.

Summary:
Its formation energy (no corrections) is -0.800 eV/atom. Its magnetic moment is 0.99 μB per formula unit. Its crystal system is trigonal. As for the electronic total energy: -57.8 eV per cell.

abc: 3.8220 3.8220 19.0681
angles: 90.00 90.00 120.00
Space group R3m (No. 160, hexagonal axes)
Inequivalent atoms, fractional coordinates:
1 Ca 0.0000 0.0000 0.0000 (multiplicity 3)
2 Co 0.0000 0.0000 0.1707 (multiplicity 3)
3 Se 0.0000 0.0000 0.5644 (multiplicity 3)
4 Se 0.0000 0.0000 0.7705 (multiplicity 3)

=====

CaCoSe2: relaxed, PBE.

Summary:
Its formation energy (no corrections) is -0.419 eV/atom. Its magnetic moment is 0.00 μB per formula unit. Its crystal system is tetragonal. As for the electronic total energy: -17.8 eV per cell.

abc: 3.270 3.270 8.555
angles: 90.00 90.00 90.00
Space group P4mm (No. 99)
Inequivalent atoms, fractional coordinates:
1 Ca 0.000 0.000 0.000 (multiplicity 1)
2 Co 0.500 0.500 0.273 (multiplicity 1)
3 Se 0.000 0.000 0.360 (multiplicity 1)
4 Se 0.500 0.500 0.793 (multiplicity 1)

=====

CaCo2Se2: relaxed, PBE.

Summary:
Its formation energy (no corrections) is -0.606 eV/atom. Its magnetic moment is 2.18 μB per formula unit. Its crystal system is tetragonal. As for the electronic total energy: -52.4 eV per cell.

abc: 3.883 3.883 11.722
angles: 90.00 90.00 90.00
Space group I4/mmm (No. 139)
Inequivalent atoms, fractional coordinates:
1 Ca 0.000 0.000 0.000 (multiplicity 2)
2 Co 0.000 0.500 0.250 (multiplicity 4)
3 Se 0.000 0.000 0.364 (multiplicity 4)

=====

CaCoSe2: relaxed, PBE.

Summary:
Its formation energy (no corrections) is -0.544 eV/atom. Its magnetic moment is 1.19 μB per formula unit. Its crystal system is orthorhombic. As for the electronic total energy: -36.5 eV per cell.

abc: 3.770 7.188 7.065
angles: 90.00 90.00 90.00
Space group Cmmm (No. 65)
Inequivalent atoms, fractional coordinates:
1 Ca 0.000 0.000 0.000 (multiplicity 2)
2 Co 0.000 0.000 0.500 (multiplicity 2)
3 Se 0.000 0.500 0.290 (multiplicity 4)

=====

CaCo2Se: relaxed, PBE.

Summary:
Its formation energy (no corrections) is -0.142 eV/atom. Its magnetic moment is 1.59 μB per formula unit. Its crystal system is tetragonal. As for the electronic total energy: -81.1 eV per cell.

abc: 4.536 4.536 15.710
angles: 90.00 90.00 90.00
Space group I-42d (No. 122)
Inequivalent atoms, fractional coordinates:
1 Ca 0.000 0.000 0.000 (multiplicity 4)
2 Co 0.032 0.250 0.625 (multiplicity 8)
3 Se 0.000 0.000 0.500 (multiplicity 4)

=====

CaCo2Se: relaxed, PBE.

Summary:
Its formation energy (no corrections) is 0.030 eV/atom. Its magnetic moment is 2.15 μB per formula unit. Its crystal system is orthorhombic. As for the electronic total energy: -39.2 eV per cell.

abc: 3.510 5.185 8.065
angles: 90.00 90.00 90.00
Space group Imm2 (No. 44)
Inequivalent atoms, fractional coordinates:
1 Ca 0.000 0.000 0.000 (multiplicity 2)
2 Co 0.000 0.000 0.514 (multiplicity 2)
3 Co 0.000 0.500 0.831 (multiplicity 2)
4 Se 0.000 0.500 0.204 (multiplicity 2)

=====

CaCoSe2: relaxed, PBE.

Summary:
Its formation energy (no corrections) is -0.743 eV/atom. Its magnetic moment is 2.15 μB per formula unit. Its crystal system is monoclinic. As for the electronic total energy: -38.1 eV per cell.

abc: 11.782 3.954 4.300
angles: 90.00 95.84 90.00
Space group Cm (No. 8)
Inequivalent atoms, fractional coordinates:
1 Ca 0.000 0.000 0.000 (multiplicity 2)
2 Co 0.285 0.000 0.183 (multiplicity 2)
3 Se 0.216 0.500 0.988 (multiplicity 2)
4 Se 0.458 0.000 0.487 (multiplicity 2)

=====

CaCoSe2: relaxed, PBE.

Summary:
Its formation energy (no corrections) is -0.469 eV/atom. Its magnetic moment is 1.96 μB per formula unit. Its crystal system is tetragonal. As for the electronic total energy: -18.0 eV per cell.

abc: 4.788 4.788 3.448
angles: 90.00 90.00 90.00
Space group P4/mmm (No. 123)
Inequivalent atoms, fractional coordinates:
1 Ca 0.000 0.000 0.000 (multiplicity 1)
2 Co 0.500 0.500 0.000 (multiplicity 1)
3 Se 0.000 0.500 0.500 (multiplicity 2)

=====

Ca4CoSe: relaxed, PBE.

Summary:
Its formation energy (no corrections) is 0.519 eV/atom. Its magnetic moment is 0.87 μB per formula unit. Its crystal system is cubic. As for the electronic total energy: -61.9 eV per cell.

abc: 9.131 9.131 9.131
angles: 90.00 90.00 90.00
Space group F-43m (No. 216)
Inequivalent atoms, fractional coordinates:
1 Ca 0.125 0.125 0.125 (multiplicity 16)
2 Co 0.250 0.250 0.750 (multiplicity 4)
3 Se 0.000 0.000 0.500 (multiplicity 4)

=====

CaCo2Se: relaxed, PBE.

Summary:
Its formation energy (no corrections) is 0.083 eV/atom. Its magnetic moment is 3.76 μB per formula unit. Its crystal system is tetragonal. As for the electronic total energy: -19.4 eV per cell.

abc: 3.866 3.866 4.694
angles: 90.00 90.00 90.00
Space group P4/mmm (No. 123)
Inequivalent atoms, fractional coordinates:
1 Ca 0.000 0.000 0.000 (multiplicity 1)
2 Co 0.000 0.500 0.500 (multiplicity 2)
3 Se 0.500 0.500 0.000 (multiplicity 1)

=====

CaCoSe2: relaxed, PBE.

Summary:
Its formation energy (no corrections) is -0.817 eV/atom. Its magnetic moment is 0.98 μB per formula unit. Its crystal system is monoclinic. As for the electronic total energy: -38.7 eV per cell.

abc: 6.726 3.889 6.526
angles: 90.00 109.96 90.00
Space group C2/m (No. 12)
Inequivalent atoms, fractional coordinates:
1 Ca 0.000 0.000 0.000 (multiplicity 2)
2 Co 0.000 0.500 0.500 (multiplicity 2)
3 Se 0.232 0.000 0.694 (multiplicity 4)

=====

CaCoSe2: relaxed, PBE.

Summary:
Its formation energy (no corrections) is -0.686 eV/atom. Its magnetic moment is 2.67 μB per formula unit. Its crystal system is tetragonal. As for the electronic total energy: -18.8 eV per cell.

abc: 3.938 3.938 5.887
angles: 90.00 90.00 90.00
Space group P4mm (No. 99)
Inequivalent atoms, fractional coordinates:
1 Ca 0.000 0.000 0.000 (multiplicity 1)
2 Co 0.500 0.500 0.555 (multiplicity 1)
3 Se 0.000 0.000 0.497 (multiplicity 1)
4 Se 0.500 0.500 0.969 (multiplicity 1)

=====

CaCoSe2: relaxed, PBE.

Summary:
Its formation energy (no corrections) is -0.778 eV/atom. Its magnetic moment is 2.13 μB per formula unit. Its crystal system is orthorhombic. As for the electronic total energy: -38.4 eV per cell.

abc: 4.163 4.134 11.386
angles: 90.00 90.00 90.00
Space group Amm2 (No. 38)
Inequivalent atoms, fractional coordinates:
1 Ca 0.000 0.000 0.000 (multiplicity 2)
2 Co 0.500 0.000 0.637 (multiplicity 2)
3 Se 0.000 0.000 0.716 (multiplicity 2)
4 Se 0.500 0.000 0.438 (multiplicity 2)

=====

Ca3CoSe: relaxed, PBE.

Summary:
Its formation energy (no corrections) is -0.227 eV/atom. Its magnetic moment is 0.00 μB per formula unit. Its crystal system is cubic. As for the electronic total energy: -17.7 eV per cell.

abc: 5.193 5.193 5.193
angles: 90.00 90.00 90.00
Space group Pm-3m (No. 221)
Inequivalent atoms, fractional coordinates:
1 Ca 0.000 0.000 0.500 (multiplicity 3)
2 Co 0.000 0.000 0.000 (multiplicity 1)
3 Se 0.500 0.500 0.500 (multiplicity 1)

=====

CaCoSe2: relaxed, PBE.

Summary:
Its formation energy (no corrections) is -0.738 eV/atom. Its magnetic moment is 1.14 μB per formula unit. Its crystal system is monoclinic. As for the electronic total energy: -19.0 eV per cell.

abc: 3.890 3.547 6.451
angles: 90.00 94.66 90.00
Space group P2/m (No. 10)
Inequivalent atoms, fractional coordinates:
1 Ca 0.000 0.000 0.000 (multiplicity 1)
2 Co 0.500 0.000 0.500 (multiplicity 1)
3 Se 0.461 0.500 0.739 (multiplicity 2)